A relaxed Pu2BePd6 crystal. Source: Alexandria via LeMat-Bulk, functional PBE.

Results
- Polymorph energy (0 for the lowest one): 0 meV/atom
- Energy of formation from the pure elements: -5.20 eV per formula unit
- Electronic total energy: -7.639 eV per atom

Unit cell a=6.030 b=6.030 c=6.030 alpha=60.04 beta=60.04 gamma=60.04
Fractional positions:
Pu  0.250  0.250  0.250
Pu  0.750  0.750  0.750
Be  0.000  0.000  0.000
Pd  0.262  0.262  0.738
Pd  0.262  0.738  0.262
Pd  0.262  0.738  0.738
Pd  0.738  0.262  0.262
Pd  0.738  0.262  0.738
Pd  0.738  0.738  0.262

=====

A relaxed PuBePd3 crystal. Source: Alexandria via LeMat-Bulk, functional PBE.

Results
- Energy of formation from the pure elements: -2.15 eV per formula unit
- Electronic total energy: -7.157 eV per atom

Unit cell a=4.405 b=4.405 c=4.405 alpha=90.00 beta=90.00 gamma=90.00
Fractional positions:
Pu  0.000  0.000  0.000
Be  0.500  0.500  0.500
Pd  0.000  0.500  0.500
Pd  0.500  0.000  0.500
Pd  0.500  0.500  0.000

=====

A relaxed Pu2BePd3 crystal. Source: Alexandria via LeMat-Bulk, functional PBE.

Results
- Energy of formation from the pure elements: -2.93 eV per formula unit
- Electronic total energy: -8.483 eV per atom

Unit cell a=5.124 b=5.124 c=5.124 alpha=65.85 beta=65.85 gamma=65.85
Fractional positions:
Pu  0.123  0.123  0.123
Pu  0.877  0.877  0.877
Be  0.500  0.500  0.500
Pd  0.000  0.500  0.500
Pd  0.500  0.000  0.500
Pd  0.500  0.500  0.000

=====

A relaxed PuBe4Pd8 crystal. Source: Alexandria via LeMat-Bulk, functional PBE.

Results
- Energy of formation from the pure elements: -5.87 eV per formula unit
- Electronic total energy: -5.896 eV per atom

Unit cell a=6.506 b=6.506 c=6.506 alpha=98.89 beta=98.89 gamma=133.69
Fractional positions:
Pu  0.000  0.000  0.000
Be  0.000  0.000  0.500
Be  0.000  0.500  0.000
Be  0.500  0.000  0.000
Be  0.500  0.500  0.500
Pd  0.000  0.333  0.333
Pd  0.000  0.667  0.667
Pd  0.275  0.500  0.775
Pd  0.333  0.000  0.333
Pd  0.500  0.275  0.775
Pd  0.500  0.725  0.225
Pd  0.667  0.000  0.667
Pd  0.725  0.500  0.225

=====

A relaxed Pu2Be4Pd5 crystal. Source: Alexandria via LeMat-Bulk, functional PBE.

Results
- Energy of formation from the pure elements: -4.74 eV per formula unit
- Electronic total energy: -6.752 eV per atom

Unit cell a=8.101 b=7.121 c=5.520 alpha=78.58 beta=59.51 gamma=41.91
Fractional positions:
Pu  0.132  0.132  0.868
Pu  0.868  0.868  0.132
Be  0.217  0.519  0.481
Be  0.481  0.783  0.217
Be  0.519  0.217  0.783
Be  0.783  0.481  0.519
Pd  0.000  0.000  0.500
Pd  0.250  0.250  0.250
Pd  0.500  0.500  0.000
Pd  0.500  0.500  0.500
Pd  0.750  0.750  0.750

=====

A relaxed PuBe2Pd2 crystal. Source: Alexandria via LeMat-Bulk, functional PBE.

Results
- Energy of formation from the pure elements: -1.92 eV per formula unit
- Electronic total energy: -6.817 eV per atom

Unit cell a=4.015 b=4.015 c=9.708 alpha=90.00 beta=90.00 gamma=90.00
Fractional positions:
Pu  0.250  0.250  0.245
Pu  0.750  0.750  0.755
Be  0.250  0.250  0.624
Be  0.250  0.750  0.000
Be  0.750  0.250  0.000
Be  0.750  0.750  0.376
Pd  0.250  0.250  0.875
Pd  0.250  0.750  0.500
Pd  0.750  0.250  0.500
Pd  0.750  0.750  0.125